No. 1
Material: ZnPdC4N4
Method: DFT, PBE
State: relaxed Values from VASP.

Geometry as Quantum ESPRESSO input:
```
&SYSTEM
  ibrav = 0, nat = 20, ntyp = 4
/
ATOMIC_SPECIES
Zn 65.41 Zn.upf
Pd 106.42 Pd.upf
C 12.01 C.upf
N 14.01 N.upf
CELL_PARAMETERS angstrom
5.300 0.000 0.000
0.000 5.300 0.000
0.000 0.000 13.620
ATOMIC_POSITIONS crystal
Zn 0.000 0.000 0.250
Zn 0.000 0.000 0.750
Pd 0.500 0.500 0.000
Pd 0.500 0.500 0.500
C 0.315 0.315 0.103
C 0.315 0.315 0.897
C 0.315 0.685 0.397
C 0.315 0.685 0.603
C 0.685 0.315 0.397
C 0.685 0.315 0.603
C 0.685 0.685 0.103
C 0.685 0.685 0.897
N 0.205 0.205 0.163
N 0.205 0.205 0.837
N 0.205 0.795 0.337
N 0.205 0.795 0.663
N 0.795 0.205 0.337
N 0.795 0.205 0.663
N 0.795 0.795 0.163
N 0.795 0.795 0.837
```

As for the space group: P4_2/mcm, No. 132.

No. 2
Material: PmCN3
Method: DFT, PBE
State: relaxed Values from VASP.

Geometry as Quantum ESPRESSO input:
```
&SYSTEM
  ibrav = 0, nat = 10, ntyp = 3
/
ATOMIC_SPECIES
Pm 145.00 Pm.upf
C 12.01 C.upf
N 14.01 N.upf
CELL_PARAMETERS angstrom
3.541 0.000 0.000
0.000 5.140 0.000
-1.432 0.000 5.913
ATOMIC_POSITIONS crystal
Pm 0.082 0.250 0.315
Pm 0.918 0.750 0.685
C 0.404 0.750 0.195
C 0.596 0.250 0.805
N 0.282 0.750 0.391
N 0.459 0.510 0.108
N 0.459 0.990 0.108
N 0.541 0.010 0.892
N 0.541 0.490 0.892
N 0.718 0.250 0.609
```

The magnetization is 0.0 Bohr magnetons per cell. As for the space group: P2_1/m, No. 11.

No. 3
Material: Pr2C2N5
Method: DFT, PBE
State: relaxed Values from VASP.

Geometry as Quantum ESPRESSO input:
```
&SYSTEM
  ibrav = 0, nat = 18, ntyp = 3
/
ATOMIC_SPECIES
Pr 140.91 Pr.upf
C 12.01 C.upf
N 14.01 N.upf
CELL_PARAMETERS angstrom
-7.629 2.594 3.034
7.629 -2.594 3.034
7.629 2.594 -3.034
ATOMIC_POSITIONS crystal
Pr 0.023 0.128 0.152
Pr 0.023 0.372 0.395
Pr 0.977 0.628 0.605
Pr 0.977 0.872 0.848
C 0.372 0.372 0.000
C 0.372 0.872 0.500
C 0.624 0.396 0.728
C 0.668 0.896 0.272
N 0.001 0.989 0.512
N 0.120 0.353 0.761
N 0.120 0.859 0.266
N 0.477 0.489 0.488
N 0.530 0.787 0.084
N 0.530 0.945 0.243
N 0.593 0.359 0.239
N 0.593 0.853 0.734
N 0.702 0.287 0.757
N 0.702 0.445 0.916
```

The magnetization is 1.3 Bohr magnetons per cell. As for the space group: Ima2, No. 46.

No. 4
Material: Pr4C2N5
Method: DFT, PBE
State: relaxed Values from VASP.

Geometry as Quantum ESPRESSO input:
```
&SYSTEM
  ibrav = 0, nat = 11, ntyp = 3
/
ATOMIC_SPECIES
Pr 140.91 Pr.upf
C 12.01 C.upf
N 14.01 N.upf
CELL_PARAMETERS angstrom
6.167 -1.822 0.000
6.167 1.822 0.000
-5.886 0.000 6.843
ATOMIC_POSITIONS crystal
Pr 0.078 0.078 0.336
Pr 0.312 0.312 0.888
Pr 0.688 0.688 0.112
Pr 0.922 0.922 0.664
C 0.424 0.424 0.405
C 0.576 0.576 0.595
N 0.000 0.000 0.000
N 0.309 0.309 0.404
N 0.393 0.393 0.223
N 0.607 0.607 0.777
N 0.691 0.691 0.596
```

The magnetization is 0.0 Bohr magnetons per cell. As for the space group: C2/m, No. 12.

| no. | total energy (eV/atom) |
| --- | --- |
| 1 | -7.449 |
| 2 | -8.312 |
| 3 | -8.251 |
| 4 | -8.124 |